Material: Li2ScZn
Method: DFT, GGA-PBE
State: relaxed

abc: 3.1758 3.1758 27.8117
angles: 90.00 90.00 120.00
Space group R3m (No. 160, hexagonal axes)
Symmetry-distinct sites (fractional):
Li (0.0000, 0.0000, 0.0000) (multiplicity 3)
Li (0.0000, 0.0000, 0.2465) (multiplicity 3)
Sc (0.0000, 0.0000, 0.4850) (multiplicity 3)
Zn (0.0000, 0.0000, 0.7387) (multiplicity 3)

Computed properties:
ΔE_f	0.0241	eV/atom
total moment	0.86	μB per cell

***

Material: Zn2Ag4Au3
Method: DFT, GGA-PBE
State: relaxed

abc: 4.357 5.874 6.771
angles: 105.20 90.20 111.13
Space group P-1 (No. 2)
Symmetry-distinct sites (fractional):
Zn (0.213, 0.429, 0.316) (multiplicity 2)
Ag (0.119, 0.236, 0.664) (multiplicity 2)
Ag (0.338, 0.676, 0.019) (multiplicity 2)
Au (0.000, 0.000, 0.000) (multiplicity 1)
Au (0.421, 0.845, 0.645) (multiplicity 2)

Computed properties:
ΔE_f	-0.0819	eV/atom
total moment	0.00	μB per cell

***

> ΔE_f of number 1 (Li2ScZn)?

0.0241 eV/atom

***

> What is the total moment in the second record?

0.00 μB per cell

***

> What is the formula in the second record?

Zn2Ag4Au3